# CsSbPdPb (PBE, relaxed)
data_CsSbPdPb
_space_group_name_H-M_alt 'P 1'
_space_group_IT_number 1
_cell_length_a 4.5857
_cell_length_b 4.5857
_cell_length_c 8.4681
_cell_angle_alpha 90.16
_cell_angle_beta 90.16
_cell_angle_gamma 60.02
loop_
_space_group_symop_operation_xyz
'x,y,z'
loop_
_atom_site_label
_atom_site_type_symbol
_atom_site_fract_x
_atom_site_fract_y
_atom_site_fract_z
Cs1 Cs 0.3584 0.3584 0.2178
Sb1 Sb 0.6910 0.6910 0.9083
Pd1 Pd 0.0242 0.0242 0.8410
Pb1 Pb 0.3570 0.3570 0.6820
# Space-group type ... No. 8
# Crystal system ... monoclinic
# Energy relative to the elements, uncorrected ... -0.34 eV per atom